(1)
# Mg2TcTe, optimized geometry, DFT GGA-PBE
# E_form (uncorrected) = 0.042 eV/atom
data_Mg2TcTe
_space_group_name_H-M_alt 'P 4 m m'
_space_group_IT_number 99
_space_group_name_Hall 'P 4 -2'
_cell_length_a 3.294
_cell_length_b 3.294
_cell_length_c 7.899
_cell_angle_alpha 90.00
_cell_angle_beta 90.00
_cell_angle_gamma 90.00
loop_
_atom_site_label
_atom_site_type_symbol
_atom_site_fract_x
_atom_site_fract_y
_atom_site_fract_z
_atom_site_occupancy
Mg1 Mg 0.000 0.000 0.000 1
Mg2 Mg 0.500 0.500 0.280 1
Tc1 Tc 0.000 0.000 0.502 1
Te1 Te 0.500 0.500 0.673 1

(2)
# MgTcTe2, optimized geometry, DFT GGA-PBE
# E_form (uncorrected) = -0.092 eV/atom
data_MgTcTe2
_space_group_name_H-M_alt 'P 4 m m'
_space_group_IT_number 99
_space_group_name_Hall 'P 4 -2'
_cell_length_a 3.431
_cell_length_b 3.431
_cell_length_c 7.868
_cell_angle_alpha 90.00
_cell_angle_beta 90.00
_cell_angle_gamma 90.00
loop_
_atom_site_label
_atom_site_type_symbol
_atom_site_fract_x
_atom_site_fract_y
_atom_site_fract_z
_atom_site_occupancy
Mg1 Mg 0.000 0.000 0.000 1
Tc1 Tc 0.500 0.500 0.193 1
Te1 Te 0.000 0.000 0.370 1
Te2 Te 0.500 0.500 0.803 1

(3)
# MgTcTe, optimized geometry, DFT GGA-PBE
# E_form (uncorrected) = 0.089 eV/atom
data_MgTcTe
_space_group_name_H-M_alt 'P 3 m 1'
_space_group_IT_number 156
_space_group_name_Hall 'P 3 -2"'
_cell_length_a 3.3383
_cell_length_b 3.3383
_cell_length_c 6.6439
_cell_angle_alpha 90.00
_cell_angle_beta 90.00
_cell_angle_gamma 120.00
loop_
_atom_site_label
_atom_site_type_symbol
_atom_site_fract_x
_atom_site_fract_y
_atom_site_fract_z
_atom_site_occupancy
Mg1 Mg 0.0000 0.0000 0.0000 1
Tc1 Tc 0.6667 0.3333 0.3075 1
Te1 Te 0.3333 0.6667 0.5731 1

(4)
# MgTcTe2, optimized geometry, DFT GGA-PBE
# E_form (uncorrected) = 0.019 eV/atom
data_MgTcTe2
_space_group_name_H-M_alt 'R 3 m'
_space_group_IT_number 160
_space_group_name_Hall 'R 3 -2"'
_cell_length_a 3.2617
_cell_length_b 3.2617
_cell_length_c 32.5506
_cell_angle_alpha 90.00
_cell_angle_beta 90.00
_cell_angle_gamma 120.00
loop_
_atom_site_label
_atom_site_type_symbol
_atom_site_fract_x
_atom_site_fract_y
_atom_site_fract_z
_atom_site_occupancy
Mg1 Mg 0.0000 0.0000 0.0000 1
Tc1 Tc 0.0000 0.0000 0.7324 1
Te1 Te 0.0000 0.0000 0.2527 1
Te2 Te 0.0000 0.0000 0.4554 1

(5)
# Mg2TcTe, optimized geometry, DFT GGA-PBE
# E_form (uncorrected) = 0.198 eV/atom
data_Mg2TcTe
_space_group_name_H-M_alt 'P 4/m m m'
_space_group_IT_number 123
_space_group_name_Hall '-P 4 2'
_cell_length_a 3.100
_cell_length_b 3.100
_cell_length_c 9.070
_cell_angle_alpha 90.00
_cell_angle_beta 90.00
_cell_angle_gamma 90.00
loop_
_atom_site_label
_atom_site_type_symbol
_atom_site_fract_x
_atom_site_fract_y
_atom_site_fract_z
_atom_site_occupancy
Mg1 Mg 0.000 0.000 0.194 1
Tc1 Tc 0.500 0.500 0.000 1
Te1 Te 0.500 0.500 0.500 1

(6)
# MgTcTe2, optimized geometry, DFT GGA-PBE
# E_form (uncorrected) = 0.564 eV/atom
data_MgTcTe2
_space_group_name_H-M_alt 'R -3 m'
_space_group_IT_number 166
_space_group_name_Hall '-R 3 2"'
_cell_length_a 3.5478
_cell_length_b 3.5478
_cell_length_c 27.3091
_cell_angle_alpha 90.00
_cell_angle_beta 90.00
_cell_angle_gamma 120.00
loop_
_atom_site_label
_atom_site_type_symbol
_atom_site_fract_x
_atom_site_fract_y
_atom_site_fract_z
_atom_site_occupancy
Mg1 Mg 0.0000 0.0000 0.0000 1
Tc1 Tc 0.0000 0.0000 0.5000 1
Te1 Te 0.0000 0.0000 0.4067 1

(7)
# MgTcTe2, optimized geometry, DFT GGA-PBE
# E_form (uncorrected) = 0.650 eV/atom
data_MgTcTe2
_space_group_name_H-M_alt 'F -4 3 m'
_space_group_IT_number 216
_space_group_name_Hall 'F -4 2 3'
_cell_length_a 7.036
_cell_length_b 7.036
_cell_length_c 7.036
_cell_angle_alpha 90.00
_cell_angle_beta 90.00
_cell_angle_gamma 90.00
loop_
_atom_site_label
_atom_site_type_symbol
_atom_site_fract_x
_atom_site_fract_y
_atom_site_fract_z
_atom_site_occupancy
Mg1 Mg 0.000 0.000 0.000 1
Tc1 Tc 0.250 0.250 0.250 1
Te1 Te 0.000 0.000 0.500 1
Te2 Te 0.250 0.250 0.750 1

(8)
# MgTcTe2, optimized geometry, DFT GGA-PBE
# E_form (uncorrected) = 0.250 eV/atom
data_MgTcTe2
_space_group_name_H-M_alt 'P 1 2/m 1'
_space_group_IT_number 10
_space_group_name_Hall '-P 2y'
_cell_length_a 3.898
_cell_length_b 4.162
_cell_length_c 5.994
_cell_angle_alpha 90.00
_cell_angle_beta 105.61
_cell_angle_gamma 90.00
loop_
_atom_site_label
_atom_site_type_symbol
_atom_site_fract_x
_atom_site_fract_y
_atom_site_fract_z
_atom_site_occupancy
Mg1 Mg 0.000 0.000 0.000 1
Tc1 Tc 0.500 0.000 0.500 1
Te1 Te 0.342 0.500 0.732 1

(9)
# Mg2TcTe, optimized geometry, DFT GGA-PBE
# E_form (uncorrected) = 0.101 eV/atom
data_Mg2TcTe
_space_group_name_H-M_alt 'A m m 2'
_space_group_IT_number 38
_space_group_name_Hall 'A 2 -2'
_cell_length_a 4.142
_cell_length_b 3.641
_cell_length_c 11.036
_cell_angle_alpha 90.00
_cell_angle_beta 90.00
_cell_angle_gamma 90.00
loop_
_atom_site_label
_atom_site_type_symbol
_atom_site_fract_x
_atom_site_fract_y
_atom_site_fract_z
_atom_site_occupancy
Mg1 Mg 0.000 0.000 0.000 1
Mg2 Mg 0.500 0.000 0.331 1
Tc1 Tc 0.500 0.000 0.587 1
Te1 Te 0.000 0.000 0.727 1

(10)
# MgTcTe, optimized geometry, DFT GGA-PBE
# E_form (uncorrected) = 0.427 eV/atom
data_MgTcTe
_space_group_name_H-M_alt 'F m m 2'
_space_group_IT_number 42
_space_group_name_Hall 'F 2 -2'
_cell_length_a 3.425
_cell_length_b 5.293
_cell_length_c 13.787
_cell_angle_alpha 90.00
_cell_angle_beta 90.00
_cell_angle_gamma 90.00
loop_
_atom_site_label
_atom_site_type_symbol
_atom_site_fract_x
_atom_site_fract_y
_atom_site_fract_z
_atom_site_occupancy
Mg1 Mg 0.000 0.000 0.000 1
Tc1 Tc 0.000 0.000 0.349 1
Te1 Te 0.000 0.000 0.704 1

(11)
# MgTcTe4, optimized geometry, DFT GGA-PBE
# E_form (uncorrected) = 0.926 eV/atom
data_MgTcTe4
_space_group_name_H-M_alt 'F -4 3 m'
_space_group_IT_number 216
_space_group_name_Hall 'F -4 2 3'
_cell_length_a 8.918
_cell_length_b 8.918
_cell_length_c 8.918
_cell_angle_alpha 90.00
_cell_angle_beta 90.00
_cell_angle_gamma 90.00
loop_
_atom_site_label
_atom_site_type_symbol
_atom_site_fract_x
_atom_site_fract_y
_atom_site_fract_z
_atom_site_occupancy
Mg1 Mg 0.000 0.000 0.000 1
Tc1 Tc 0.250 0.250 0.750 1
Te1 Te 0.125 0.125 0.375 1

(12)
# MgTcTe, optimized geometry, DFT GGA-PBE
# E_form (uncorrected) = 0.225 eV/atom
data_MgTcTe
_space_group_name_H-M_alt 'F -4 3 m'
_space_group_IT_number 216
_space_group_name_Hall 'F -4 2 3'
_cell_length_a 6.313
_cell_length_b 6.313
_cell_length_c 6.313
_cell_angle_alpha 90.00
_cell_angle_beta 90.00
_cell_angle_gamma 90.00
loop_
_atom_site_label
_atom_site_type_symbol
_atom_site_fract_x
_atom_site_fract_y
_atom_site_fract_z
_atom_site_occupancy
Mg1 Mg 0.000 0.000 0.000 1
Tc1 Tc 0.250 0.250 0.750 1
Te1 Te 0.000 0.000 0.500 1

(13)
# Mg2TcTe, optimized geometry, DFT GGA-PBE
# E_form (uncorrected) = 0.218 eV/atom
data_Mg2TcTe
_space_group_name_H-M_alt 'C m m m'
_space_group_IT_number 65
_space_group_name_Hall '-C 2 2'
_cell_length_a 5.638
_cell_length_b 8.577
_cell_length_c 3.198
_cell_angle_alpha 90.00
_cell_angle_beta 90.00
_cell_angle_gamma 90.00
loop_
_atom_site_label
_atom_site_type_symbol
_atom_site_fract_x
_atom_site_fract_y
_atom_site_fract_z
_atom_site_occupancy
Mg1 Mg 0.250 0.250 0.000 1
Tc1 Tc 0.000 0.000 0.500 1
Te1 Te 0.000 0.500 0.500 1

(14)
# MgTcTe, optimized geometry, DFT GGA-PBE
# E_form (uncorrected) = 0.017 eV/atom
data_MgTcTe
_space_group_name_H-M_alt 'I 4 m m'
_space_group_IT_number 107
_space_group_name_Hall 'I 4 -2'
_cell_length_a 3.294
_cell_length_b 3.294
_cell_length_c 11.584
_cell_angle_alpha 90.00
_cell_angle_beta 90.00
_cell_angle_gamma 90.00
loop_
_atom_site_label
_atom_site_type_symbol
_atom_site_fract_x
_atom_site_fract_y
_atom_site_fract_z
_atom_site_occupancy
Mg1 Mg 0.000 0.000 0.000 1
Tc1 Tc 0.000 0.000 0.650 1
Te1 Te 0.000 0.000 0.267 1

no.,Fermi-level density of states (states/eV/f.u.),calculated density (g/cm3)
1,2.5,5.31
2,2.1,6.77
3,2.4,6.47
4,2.1,6.27
5,3.0,5.22
6,5.0,6.32
7,4.3,7.20
8,2.7,6.69
9,2.5,5.47
10,3.1,6.64
11,3.7,5.93
12,3.1,6.60
13,4.0,5.89
14,1.9,6.60